No. 1
Material: YPtPbO6
Method: DFT, PBE
State: optimized geometry

* ΔE_f (raw): -11.86 eV per formula unit

Lattice parameters (Å, degrees): 5.5606 5.5606 9.1431 90.00 90.00 120.00
With the nearest neighbours (Å) after each atom.
Fractional coordinates of all 18 atoms:
Pb: 0.0000 0.0000 0.5000  6 O 2.28
Pb: 0.0000 0.0000 0.0000  6 O 2.28
Pt: 0.3333 0.6667 0.7500  6 O 2.01
Pt: 0.6667 0.3333 0.2500  6 O 2.01
O: 0.6325 0.6657 0.6268  1 Pt 2.01, 1 Y 2.25
O: 0.3675 0.3343 0.3732  1 Pt 2.01, 1 Y 2.25
O: 0.6657 0.6325 0.1268  1 Pt 2.01, 1 Y 2.25
O: 0.0332 0.3675 0.6268  1 Pt 2.01, 1 Y 2.25
O: 0.0332 0.6657 0.8732  1 Pt 2.01, 1 Y 2.25
O: 0.9668 0.3343 0.1268  1 Pt 2.01, 1 Y 2.25
O: 0.9668 0.6325 0.3732  1 Pt 2.01, 1 Y 2.25
O: 0.3343 0.3675 0.8732  1 Pt 2.01, 1 Y 2.25
O: 0.6325 0.9668 0.8732  1 Pt 2.01, 1 Y 2.25
O: 0.3343 0.9668 0.6268  1 Pt 2.01, 1 Y 2.25
O: 0.6657 0.0332 0.3732  1 Pt 2.01, 1 Y 2.25
O: 0.3675 0.0332 0.1268  1 Pt 2.01, 1 Y 2.25
Y: 0.6667 0.3333 0.7500  6 O 2.25
Y: 0.3333 0.6667 0.2500  6 O 2.25

=====

No. 2
Material: YPtPb2O6
Method: DFT, PBE
State: optimized geometry

* ΔE_f (raw): -14.72 eV per formula unit

Lattice parameters (Å, degrees): 5.8453 5.9018 8.2993 90.00 90.10 90.00
With the nearest neighbours (Å) after each atom.
Fractional coordinates of all 20 atoms:
Pb: 0.4922 0.4637 0.2526  5 O 2.49-2.77
Pb: 0.9922 0.0363 0.7526  5 O 2.49-2.77
Pb: 0.5078 0.5363 0.7474  5 O 2.49-2.77
Pb: 0.0078 0.9637 0.2474  5 O 2.49-2.77
O: 0.7256 0.3036 0.9531  1 Pt 2.02
O: 0.9124 0.5244 0.2346  1 Pt 2.02
O: 0.2744 0.6964 0.0469  1 Pt 2.02
O: 0.2256 0.1964 0.4531  1 Pt 2.02
O: 0.0876 0.4756 0.7654  1 Pt 2.02
O: 0.4124 0.9756 0.7346  1 Pt 2.02
O: 0.1893 0.2208 0.0429  1 Pt 2.02
O: 0.8107 0.7792 0.9571  1 Pt 2.02
O: 0.5876 0.0244 0.2654  1 Pt 2.02
O: 0.3107 0.7208 0.4571  1 Pt 2.02
O: 0.6893 0.2792 0.5429  1 Pt 2.02
O: 0.7744 0.8036 0.5469  1 Pt 2.02
Pt: 0.5000 0.0000 0.5000  6 O 2.02
Pt: 0.0000 0.5000 0.0000  6 O 2.02
Y: 0.5000 0.0000 0.0000  6 O 2.26
Y: 0.0000 0.5000 0.5000  6 O 2.26

=====

No. 3
Material: ZnPtPb2O6
Method: DFT, PBE
State: optimized geometry

* ΔE_f (raw): -8.78 eV per formula unit

Lattice parameters (Å, degrees): 5.6125 5.7697 7.9773 90.00 89.66 90.00
With the nearest neighbours (Å) after each atom.
Fractional coordinates of all 20 atoms:
O: 0.7081 0.3045 0.9530  1 Pt 2.03, 1 Zn 2.14
O: 0.9001 0.5424 0.2422  1 Pt 2.02, 1 Zn 2.15
O: 0.8064 0.7856 0.9447  1 Pt 2.02, 1 Zn 2.16
O: 0.2919 0.6955 0.0470  1 Pt 2.03, 1 Zn 2.14
O: 0.0999 0.4576 0.7578  1 Pt 2.02, 1 Zn 2.15
O: 0.6936 0.2856 0.5553  1 Pt 2.02, 1 Zn 2.16
O: 0.4001 0.9576 0.7422  1 Pt 2.02, 1 Zn 2.15
O: 0.5999 0.0424 0.2578  1 Pt 2.02, 1 Zn 2.15
O: 0.2081 0.1955 0.4530  1 Pt 2.03, 1 Zn 2.14
O: 0.3064 0.7144 0.4447  1 Pt 2.02, 1 Zn 2.16
O: 0.7919 0.8045 0.5470  1 Pt 2.03, 1 Zn 2.14
O: 0.1936 0.2144 0.0553  1 Pt 2.02, 1 Zn 2.16
Pt: 0.0000 0.5000 0.0000  6 O 2.02-2.03
Pt: 0.5000 0.0000 0.5000  6 O 2.02-2.03
Pb: 0.9876 0.0487 0.7467  5 O 2.37-2.64
Pb: 0.4876 0.4513 0.2467  5 O 2.37-2.64
Pb: 0.0124 0.9513 0.2533  5 O 2.37-2.64
Pb: 0.5124 0.5487 0.7533  5 O 2.37-2.64
Zn: 0.5000 0.0000 0.0000  6 O 2.14-2.16
Zn: 0.0000 0.5000 0.5000  6 O 2.14-2.16

=====

No. 4
Material: ZnPtPbO4
Method: DFT, PBE
State: optimized geometry

* ΔE_f (raw): -5.09 eV per formula unit

Lattice parameters (Å, degrees): 6.1102 6.7204 6.4330 118.60 90.00 117.04
With the nearest neighbours (Å) after each atom.
Fractional coordinates of all 14 atoms:
O: 0.7323 0.4646 0.6947  2 Pt 2.06, 1 Zn 2.14
O: 0.2149 0.9079 0.2039  1 Zn 1.97
O: 0.2677 0.5354 0.7301  2 Pt 2.06, 1 Zn 2.14
O: 0.7323 0.4646 0.2699  2 Pt 2.06, 1 Zn 2.14
O: 0.7851 0.0921 0.7961  1 Zn 1.97
O: 0.6930 0.9079 0.2039  1 Zn 1.97
O: 0.2677 0.5354 0.3053  2 Pt 2.06, 1 Zn 2.14
O: 0.3070 0.0921 0.7961  1 Zn 1.97
Pt: 0.5000 0.5000 0.5000  4 O 2.06
Pt: 0.0000 0.5000 0.5000  4 O 2.06
Pb: 0.5000 0.0000 0.0000  6 O 2.22-2.36
Pb: 0.5000 0.0000 0.5000  6 O 2.22-2.36
Zn: 0.1603 0.3207 0.9103  4 O 1.97-2.14
Zn: 0.8397 0.6793 0.0897  4 O 1.97-2.14

=====

No. 5
Material: ZnPtPbO6
Method: DFT, PBE
State: optimized geometry

* ΔE_f (raw): -5.30 eV per formula unit

Lattice parameters (Å, degrees): 5.4644 5.4644 8.5948 90.00 90.00 120.00
With the nearest neighbours (Å) after each atom.
Fractional coordinates of all 18 atoms:
Pt: 0.6667 0.3333 0.2500  6 O 1.98
Pt: 0.3333 0.6667 0.7500  6 O 1.98
O: 0.6696 0.6373 0.1226  1 Pt 1.98, 1 Zn 2.17, 1 Pb 2.21
O: 0.6373 0.9678 0.8774  1 Pt 1.98, 1 Zn 2.17, 1 Pb 2.21
O: 0.0322 0.6696 0.8774  1 Pt 1.98, 1 Zn 2.17, 1 Pb 2.21
O: 0.3627 0.3304 0.3774  1 Pt 1.98, 1 Zn 2.17, 1 Pb 2.21
O: 0.6373 0.6696 0.6226  1 Pt 1.98, 1 Zn 2.17, 1 Pb 2.21
O: 0.0322 0.3627 0.6226  1 Pt 1.98, 1 Zn 2.17, 1 Pb 2.21
O: 0.3627 0.0322 0.1226  1 Pt 1.98, 1 Zn 2.17, 1 Pb 2.21
O: 0.3304 0.3627 0.8774  1 Pt 1.98, 1 Zn 2.17, 1 Pb 2.21
O: 0.6696 0.0322 0.3774  1 Pt 1.98, 1 Zn 2.17, 1 Pb 2.21
O: 0.9678 0.3304 0.1226  1 Pt 1.98, 1 Zn 2.17, 1 Pb 2.21
O: 0.9678 0.6373 0.3774  1 Pt 1.98, 1 Zn 2.17, 1 Pb 2.21
O: 0.3304 0.9678 0.6226  1 Pt 1.98, 1 Zn 2.17, 1 Pb 2.21
Pb: 0.6667 0.3333 0.7500  6 O 2.21
Pb: 0.3333 0.6667 0.2500  6 O 2.21
Zn: 0.0000 0.0000 0.0000  6 O 2.17
Zn: 0.0000 0.0000 0.5000  6 O 2.17

=====

No. 6
Material: ZnPtPbO2
Method: DFT, PBE
State: optimized geometry

* ΔE_f (raw): -0.12 eV per formula unit

Lattice parameters (Å, degrees): 4.0422 5.0856 4.0422 90.00 90.00 90.00
With the nearest neighbours (Å) after each atom.
Fractional coordinates of all 5 atoms:
Pt: 0.0000 0.0000 0.0000  4 O 2.02
O: 0.5000 0.0000 0.0000  2 Pt 2.02
O: 0.0000 0.0000 0.5000  2 Pt 2.02
Zn: 0.0000 0.5000 0.0000  2 Pt 2.54
Pb: 0.5000 0.5000 0.5000  4 Zn 2.86

=====

In Bohr magnetons per cell, the M_tot values for the records above are, in order, 0.00, 0.00, 0.00, 0.00, 0.01, 0.21.
In eV per cell, the DFT total energy values for the records above are, in order, -115.64, -128.78, -106.51, -71.89, -92.14, -21.06.
In g/cm³, the calculated density values for the records above are, in order, 7.96, 9.21, 9.91, 8.90, 8.42, 9.99.